Below is crystalline SrP2Os at its relaxed geometry, with properties calculated at the PBE-GGA level.

abc: 6.615 6.615 6.615
angles: 90.00 90.00 90.00
Space group F-43m (No. 216)
Symmetry-distinct sites (fractional):
Sr (0.000, 0.000, 0.000) (multiplicity 4)
P (0.000, 0.000, 0.500) (multiplicity 4)
P (0.250, 0.250, 0.250) (multiplicity 4)
Os (0.250, 0.250, 0.750) (multiplicity 4)

E_form ... 0.80 eV/atom